Record 1
Sm4N2Cl3: optimized geometry, PBE-GGA.

abc: 3.4815 7.2426 8.2790
angles: 101.50 90.00 103.91
Atoms (fractional coordinates):
1 Sm 0.6797 0.3594 0.1031
2 Sm 0.0936 0.1873 0.7105
3 Sm 0.9064 0.8127 0.2895
4 Sm 0.3203 0.6406 0.8969
5 N 0.2987 0.5974 0.1892
6 N 0.7013 0.4026 0.8108
7 Cl 0.4116 0.8233 0.6001
8 Cl 0.0000 0.0000 0.0000
9 Cl 0.5884 0.1767 0.3999

Output
Crystal system: monoclinic
E_tot, eV/cell: -55.45
Formation energy (no corrections), meV per atom: -1597.7
Volume, Å³ per cell: 198.32

---

Record 2
NaMo3N: optimized geometry, PBE-GGA.

abc: 4.4907 4.4907 4.4907
angles: 90.00 90.00 90.00
Atoms (fractional coordinates):
1 Na 0.0000 0.0000 0.0000
2 Mo 0.0000 0.5000 0.0000
3 Mo 0.0000 0.0000 0.5000
4 Mo 0.5000 0.0000 0.0000
5 N 0.5000 0.5000 0.5000

Output
Crystal system: cubic
E_tot, eV/cell: -23.52
Formation energy (no corrections), meV per atom: 3723.7
Volume, Å³ per cell: 90.56

---

Record 3
La5Pm2SmY: optimized geometry, PBE-GGA.

abc: 9.0539 9.0539 10.1563
angles: 116.47 116.47 90.00
Atoms (fractional coordinates):
1 La 0.9294 0.4294 0.2801
2 La 0.6493 0.1493 0.7199
3 La 0.0706 0.5706 0.7199
4 La 0.1493 0.0706 0.7199
5 La 0.5706 0.6493 0.7199
6 La 0.8507 0.9294 0.2801
7 La 0.4294 0.3507 0.2801
8 La 0.3507 0.8507 0.2801
9 La 0.5000 0.5000 0.0000
10 La 0.0000 0.0000 0.0000
11 Pm 0.1153 0.3847 0.0000
12 Pm 0.6153 0.1153 0.0000
13 Pm 0.3847 0.8847 0.0000
14 Pm 0.8847 0.6153 0.0000
15 Sm 0.2500 0.2500 0.5000
16 Sm 0.7500 0.7500 0.5000
17 Y 0.2500 0.7500 0.5000
18 Y 0.7500 0.2500 0.5000

Output
Formation energy from the elements, eV/atom: 0.27
Crystal system: tetragonal
E_tot, eV/cell: -85.79
Volume, Å³ per cell: 646.32

---

Record 4
KIn2HgPd: optimized geometry, PBE-GGA.

abc: 5.1860 5.1860 6.1499
angles: 90.00 90.00 90.00
Atoms (fractional coordinates):
1 K 0.0000 0.0000 0.5000
2 Hg 0.5000 0.5000 0.5000
3 Pd 0.0000 0.0000 0.0000
4 In 0.0000 0.5000 0.0000
5 In 0.5000 0.0000 0.0000

Output
Formation energy from the elements, eV/atom: -0.14
Crystal system: tetragonal
E_tot, eV/cell: -12.77
Volume, Å³ per cell: 165.40

---

Record 5
YPOs2: optimized geometry, PBE-GGA.

abc: 4.0829 4.0829 3.9104
angles: 90.00 90.00 90.00
Atoms (fractional coordinates):
1 Y 0.0000 0.0000 0.5000
2 P 0.5000 0.5000 0.5000
3 Os 0.0000 0.5000 0.0000
4 Os 0.5000 0.0000 0.0000

Output
Formation energy from the elements, eV/atom: 0.22
Crystal system: tetragonal
E_tot, eV/cell: -33.46
Volume, Å³ per cell: 65.19

---

Record 6
PmErIO6: optimized geometry, PBE-GGA.

abc: 5.6145 5.6145 9.8520
angles: 90.00 90.00 120.00
Atoms (fractional coordinates):
1 Pm 0.0000 0.0000 0.0000
2 Pm 0.0000 0.0000 0.5000
3 Er 0.3333 0.6667 0.2500
4 Er 0.6667 0.3333 0.7500
5 I 0.6667 0.3333 0.2500
6 I 0.3333 0.6667 0.7500
7 O 0.6634 0.6316 0.1370
8 O 0.9682 0.3366 0.1370
9 O 0.3366 0.9682 0.6370
10 O 0.0318 0.6634 0.8630
11 O 0.3684 0.3366 0.3630
12 O 0.9682 0.6316 0.3630
13 O 0.6316 0.9682 0.8630
14 O 0.6634 0.0318 0.3630
15 O 0.0318 0.3684 0.6370
16 O 0.3684 0.0318 0.1370
17 O 0.6316 0.6634 0.6370
18 O 0.3366 0.3684 0.8630

Output
Crystal system: trigonal
E_tot, eV/cell: -118.04
Formation energy (no corrections), meV per atom: -2045.0
Volume, Å³ per cell: 268.95

---

- volume of number 3 (La5Pm2SmY)?
  646.32 Å³ per cell